VASP calculation (PBE) on a relaxed NaMg2RuW crystal.

Output
Energy above the most stable polymorph in this dataset in eV per atom: 0.000
Symmetry: No. 123
Formation energy in eV/atom: 1.0055

Cell: 5.3675 4.5686 5.3675 Å, 90.00 90.00 90.00°
Closest atoms and distances in Å follow each position.
Fractional positions:
Ru 0.0000 0.5000 0.0000  2 W 2.28
Mg 0.0000 0.0000 0.5000  2 W 2.68
Mg 0.5000 0.0000 0.0000  2 W 2.68
W 0.0000 0.0000 0.0000  2 Ru 2.28
Na 0.5000 0.5000 0.5000  8 Mg 3.52, 4 Ru 3.80